[1]
{"formula": "La2Tb5Y", "functional": "PBE", "state": "relaxed", "crystal_system": "orthorhombic", "e_tot_ev_per_cell": -78.51, "lattice_angstrom": [[5.1129, 0.0000, 0.0000], [0.0000, 7.2173, 0.0000], [0.0000, 0.0000, 14.4350]], "species": ["La", "La", "La", "La", "Tb", "Tb", "Tb", "Tb", "Tb", "Tb", "Tb", "Tb", "Tb", "Tb", "Y", "Y"], "fractional_positions": [[0.5000, 0.2497, 0.6253], [0.5000, 0.7503, 0.3747], [0.5000, 0.2503, 0.1253], [0.5000, 0.7497, 0.8747], [0.0000, 0.0000, 0.0000], [0.0000, 0.5000, 0.5000], [0.0000, 0.4981, 0.7496], [0.0000, 0.5019, 0.2504], [0.0000, 0.0019, 0.2496], [0.0000, 0.9981, 0.7504], [0.5000, 0.2475, 0.8744], [0.5000, 0.7525, 0.1256], [0.5000, 0.2525, 0.3744], [0.5000, 0.7475, 0.6256], [0.0000, 0.0000, 0.5000], [0.0000, 0.5000, 0.0000]]}

=====

[2]
{"formula": "Ac2MgAs4Ir3", "functional": "PBE", "state": "relaxed", "crystal_system": "tetragonal", "e_tot_ev_per_cell": -62.78, "lattice_angstrom": [[4.4428, 0.0000, 0.0000], [0.0000, 4.4428, 0.0000], [0.0000, 0.0000, 10.4278]], "species": ["Ac", "Ac", "Mg", "As", "As", "As", "As", "Ir", "Ir", "Ir"], "fractional_positions": [[0.5000, 0.0000, 0.2386], [0.0000, 0.5000, 0.7614], [0.5000, 0.5000, 0.5000], [0.5000, 0.5000, 0.0000], [0.0000, 0.0000, 0.0000], [0.5000, 0.0000, 0.6430], [0.0000, 0.5000, 0.3570], [0.0000, 0.0000, 0.5000], [0.5000, 0.0000, 0.8880], [0.0000, 0.5000, 0.1120]]}

=====

[3]
{"formula": "BaMo2Ru", "functional": "PBE", "state": "relaxed", "crystal_system": "monoclinic", "de_polymorph_mev_per_atom": 85, "lattice_angstrom": [[-0.9140, -0.3627, -4.8743], [-2.9153, -2.2921, -3.3125], [-4.8755, 4.1885, -1.0734]], "species": ["Ba", "Mo", "Mo", "Ru"], "fractional_positions": [[0.7614, 0.7614, 0.7363], [0.9577, 0.9577, 0.1205], [0.2519, 0.2519, 0.2575], [0.5289, 0.5289, 0.3857]]}